Entry 1:
## Cs2Bi8Se13 (GGA-PBEsol)

Data for a relaxed Cs2Bi8Se13 crystal.

Values from the calculation:
Space group: No. 11
Raw formation energy, eV per atom: -0.534

abc: 4.149 13.685 24.929
angles: 96.92 90.00 90.00
Atoms (fractional coordinates):
Se  0.250  0.511  0.373
Se  0.750  0.802  0.584
Se  0.750  0.976  0.320
Se  0.750  0.263  0.281
Se  0.250  0.753  0.236
Se  0.750  0.407  0.022
Se  0.750  0.096  0.552
Se  0.750  0.489  0.627
Se  0.250  0.036  0.184
Se  0.750  0.247  0.764
Se  0.750  0.815  0.088
Se  0.250  0.904  0.448
Se  0.750  0.964  0.816
Se  0.250  0.323  0.146
Se  0.250  0.185  0.912
Se  0.250  0.895  0.951
Se  0.750  0.554  0.239
Se  0.250  0.198  0.416
Se  0.750  0.610  0.486
Se  0.250  0.446  0.761
Se  0.250  0.390  0.514
Se  0.250  0.593  0.978
Se  0.750  0.677  0.854
Se  0.250  0.024  0.680
Se  0.250  0.737  0.719
Se  0.750  0.105  0.049
Bi  0.250  0.124  0.787
Bi  0.250  0.275  0.032
Bi  0.750  0.565  0.733
Bi  0.750  0.191  0.170
Bi  0.750  0.725  0.968
Bi  0.250  0.947  0.559
Bi  0.750  0.053  0.441
Bi  0.250  0.579  0.564
Bi  0.250  0.809  0.830
Bi  0.250  0.435  0.267
Bi  0.250  0.955  0.071
Bi  0.750  0.045  0.929
Bi  0.750  0.880  0.692
Bi  0.750  0.421  0.436
Bi  0.750  0.876  0.213
Bi  0.250  0.120  0.308
Cs  0.250  0.579  0.119
Cs  0.250  0.276  0.638
Cs  0.750  0.421  0.881
Cs  0.750  0.724  0.362



Entry 2:
## CoRh (GGA-PBEsol)

Data for a relaxed CoRh crystal.

Values from the calculation:
Formation enthalpy at 0 K, eV per atom: 0.09
Space group: No. 166

abc: 2.601 2.601 4.413
angles: 72.86 72.86 60.00
Each line ends with the local moment (μB).
Atoms (fractional coordinates):
Co  0.000  0.000  0.000  0.36
Rh  0.500  0.500  0.500  1.72



Entry 3:
## Sr4Ag (GGA-PBEsol)

Data for a relaxed Sr4Ag crystal.

Values from the calculation:
Formation enthalpy at 0 K, eV per atom: -0.07
Space group: No. 87

abc: 4.024 7.486 7.486
angles: 85.86 74.41 74.41
Atoms (fractional coordinates):
Sr  0.432  0.324  0.811
Sr  0.568  0.676  0.189
Sr  0.756  0.811  0.676
Sr  0.244  0.189  0.324
Ag  0.000  0.000  0.000



Entry 4:
## RbLa2Rh (GGA-PBEsol)

Data for a relaxed RbLa2Rh crystal.

Values from the calculation:
Formation enthalpy at 0 K, eV per atom: 0.32
Space group: No. 225

abc: 5.333 5.333 5.333
angles: 60.00 60.00 60.00
Atoms (fractional coordinates):
La  0.250  0.250  0.250
La  0.750  0.750  0.750
Rb  0.000  0.000  0.000
Rh  0.500  0.500  0.500



| no. | uncorrected energy (eV/atom) |
| --- | --- |
| 1 | -4.282 |
| 2 | -7.845 |
| 3 | -2.207 |
| 4 | -4.644 |